PuAlCoO6 | GGA+U | optimized geometry

```
PuAlCoO6
1.0
-1.283 4.686 -1.641
-1.570 -4.142 -2.585
-7.449 -0.292 4.991
Pu Al Co O
2 2 2 12
Direct
0.333 0.667 0.250
0.667 0.333 0.750
0.667 0.333 0.250
0.333 0.667 0.750
0.000 0.000 0.000
0.000 0.000 0.500
0.661 0.647 0.133
0.986 0.339 0.133
0.339 0.986 0.633
0.014 0.661 0.867
0.353 0.339 0.367
0.986 0.647 0.367
0.647 0.986 0.867
0.661 0.014 0.367
0.014 0.353 0.633
0.353 0.014 0.133
0.647 0.661 0.633
0.339 0.353 0.867
```

Values from the calculation:
VASP energy: -7.975 eV/atom